# 1
LaSi2Pd8: optimized geometry, PBE.

Properties
Raw formation energy (meV/atom): -387

abc: 5.5579 5.5579 7.2092
angles: 90.00 90.00 90.00
With the nearest neighbours (Å) after each atom.
Space group P4/mmm (No. 123)
One atom of each set of equivalent atoms:
La 0.0000 0.0000 0.0000 x1  8 Pd 2.94
Si 0.0000 0.5000 0.5000 x2  8 Pd 2.44
Pd 0.2541 0.2541 0.2988 x8  2 Si 2.44, 2 Pd 2.73



# 2
LaSi2Pd2: optimized geometry, PBE.

Properties
Raw formation energy (meV/atom): -935

abc: 4.3035 4.3035 9.9709
angles: 90.00 90.00 90.00
With the nearest neighbours (Å) after each atom.
Space group I4/mmm (No. 139)
One atom of each set of equivalent atoms:
La 0.0000 0.0000 0.0000 x2  8 Si 3.27, 8 Pd 3.29
Si 0.0000 0.0000 0.3797 x4  1 Si 2.40, 4 Pd 2.51
Pd 0.0000 0.5000 0.2500 x4  4 Si 2.51



# 3
La3Si4Pd4: optimized geometry, PBE.

Properties
Raw formation energy (meV/atom): -950

abc: 4.2501 4.3169 24.7315
angles: 90.00 90.00 90.00
With the nearest neighbours (Å) after each atom.
Space group Immm (No. 71)
One atom of each set of equivalent atoms:
La 0.0000 0.0000 0.0000 x2  4 Pd 3.23, 8 Si 3.26
La 0.0000 0.5000 0.1471 x4  6 Si 3.24-3.28, 8 Pd 3.26-3.33
Si 0.0000 0.0000 0.4518 x4  1 Si 2.39, 2 Pd 2.49
Si 0.0000 0.5000 0.3018 x4  5 Pd 2.47-2.52
Pd 0.0000 0.0000 0.2490 x4  4 Si 2.47-2.52
Pd 0.0000 0.5000 0.4018 x4  3 Si 2.47-2.49



# 4
La3Si6Pd20: optimized geometry, PBE.

Properties
Raw formation energy (meV/atom): -800

abc: 12.4537 12.4537 12.4537
angles: 90.00 90.00 90.00
With the nearest neighbours (Å) after each atom.
Space group Fm-3m (No. 225)
One atom of each set of equivalent atoms:
La 0.0000 0.0000 0.0000 x4  12 Pd 3.06, 6 Si 3.33
La 0.2500 0.2500 0.2500 x8  4 Pd 2.92
Si 0.0000 0.0000 0.2677 x24  8 Pd 2.46-2.49
Pd 0.0000 0.1735 0.1735 x48  2 Si 2.46, 1 Pd 2.69
Pd 0.1145 0.1145 0.3855 x32  3 Si 2.49



| no. | electronic total energy (eV per atom) |
| --- | --- |
| 1 | -5.60 |
| 2 | -6.17 |
| 3 | -6.15 |
| 4 | -6.01 |